Entry 1:
Below is crystalline U3Si6Pt2Rh at its relaxed geometry, with properties calculated at the PBE level.

Calculated values
The total energy is -90.1 eV for the cell shown. The calculation puts the raw formation energy at -0.356 eV/atom. For the volume, the calculation gives 213.57 Å³/cell.

```
U3Si6Pt2Rh
1.0
5.690 0.000 0.000
-2.845 4.928 0.000
0.000 0.000 7.617
U Si Pt Rh
3 6 2 1
direct
0.000 0.000 0.000
0.333 0.667 0.654
0.667 0.333 0.346
0.189 0.378 0.300
0.189 0.811 0.300
0.378 0.189 0.700
0.622 0.811 0.300
0.811 0.189 0.700
0.811 0.622 0.700
0.333 0.667 0.026
0.667 0.333 0.974
0.000 0.000 0.500
```

---

Entry 2:
Below is crystalline Y2Si3Pt12Rh at its relaxed geometry, with properties calculated at the PBE level.

Calculated values
The total energy is -116.2 eV for the cell shown. The calculation puts the raw formation energy at -0.400 eV/atom. For the volume, the calculation gives 348.28 Å³/cell.

```
Y2Si3Pt12Rh
1.0
4.102 2.368 5.974
-4.102 2.368 5.974
0.000 -4.737 5.974
Y Si Pt Rh
2 3 12 1
direct
0.108 0.108 0.108
0.892 0.892 0.892
0.000 0.500 0.500
0.500 0.000 0.500
0.500 0.500 0.000
0.117 0.636 0.636
0.143 0.143 0.603
0.143 0.603 0.143
0.364 0.364 0.883
0.364 0.883 0.364
0.397 0.857 0.857
0.603 0.143 0.143
0.636 0.117 0.636
0.636 0.636 0.117
0.857 0.397 0.857
0.857 0.857 0.397
0.883 0.364 0.364
0.500 0.500 0.500
```

---

Entry 3:
Below is crystalline YSi2PtRh2 at its relaxed geometry, with properties calculated at the PBE level.

Calculated values
The total energy is -40.3 eV for the cell shown. The calculation puts the raw formation energy at -0.378 eV/atom. For the volume, the calculation gives 112.70 Å³/cell.

```
YSi2PtRh2
1.0
4.507 0.000 0.000
0.000 4.507 0.000
0.000 0.000 5.547
Y Si Pt Rh
1 2 1 2
direct
0.000 0.000 0.000
0.000 0.500 0.500
0.500 0.000 0.500
0.000 0.000 0.500
0.500 0.500 0.249
0.500 0.500 0.751
```

---

Entry 4:
Below is crystalline YSi2PtRh at its relaxed geometry, with properties calculated at the PBE level.

Calculated values
The total energy is -36.2 eV for the cell shown. The calculation puts the raw formation energy at -1.091 eV/atom. For the volume, the calculation gives 83.57 Å³/cell.

```
YSi2PtRh
1.0
-2.028 2.028 5.081
2.028 -2.028 5.081
2.028 2.028 -5.081
Y Si Pt Rh
1 2 1 1
direct
0.000 0.000 0.000
0.385 0.385 0.000
0.615 0.615 0.000
0.250 0.750 0.500
0.750 0.250 0.500
```

---

Entry 5:
Below is crystalline YSi3PtRh at its relaxed geometry, with properties calculated at the PBE level.

Calculated values
The total energy is -79.7 eV for the cell shown. The calculation puts the raw formation energy at -0.622 eV/atom. For the volume, the calculation gives 232.98 Å³/cell.

```
YSi3PtRh
1.0
2.802 -7.458 0.000
2.802 7.458 0.000
0.000 0.000 5.575
Y Si Pt Rh
2 6 2 2
direct
0.196 0.804 0.750
0.804 0.196 0.250
0.246 0.246 0.000
0.246 0.246 0.500
0.256 0.744 0.250
0.744 0.256 0.750
0.754 0.754 0.000
0.754 0.754 0.500
0.098 0.902 0.250
0.902 0.098 0.750
0.412 0.588 0.250
0.588 0.412 0.750
```

---

Entry 6:
Below is crystalline Y2Si3Pt4Rh at its relaxed geometry, with properties calculated at the PBE level.

Calculated values
The total energy is -70.3 eV for the cell shown. The calculation puts the raw formation energy at -0.959 eV/atom. For the volume, the calculation gives 177.11 Å³/cell.

```
Y2Si3Pt4Rh
1.0
4.083 0.000 0.000
0.000 4.083 0.000
0.000 0.000 10.624
Y Si Pt Rh
2 3 4 1
direct
0.000 0.500 0.247
0.500 0.000 0.753
0.000 0.000 0.000
0.000 0.500 0.630
0.500 0.000 0.370
0.000 0.000 0.500
0.000 0.500 0.848
0.500 0.000 0.152
0.500 0.500 0.500
0.500 0.500 0.000
```

---

Entry 7:
Below is crystalline SmPt4Rh at its relaxed geometry, with properties calculated at the PBE level.

Calculated values
The total energy is -39.3 eV for the cell shown. For the formation energy, the calculation gives -0.52 eV/atom. For the volume, the calculation gives 107.74 Å³/cell.

```
SmPt4Rh
1.0
0.000 3.777 3.777
3.777 0.000 3.777
3.777 3.777 0.000
Sm Pt Rh
1 4 1
direct
0.000 0.000 0.000
0.376 0.376 0.376
0.376 0.376 0.873
0.376 0.873 0.376
0.873 0.376 0.376
0.750 0.750 0.750
```

---

Entry 8:
Below is crystalline Sm3Pt2Rh at its relaxed geometry, with properties calculated at the PBE level.

Calculated values
The total energy is -157.5 eV for the cell shown. For the formation energy, the calculation gives -0.96 eV/atom. For the volume, the calculation gives 575.84 Å³/cell.

```
Sm3Pt2Rh
1.0
11.823 0.000 0.000
0.000 4.142 0.000
0.000 0.000 11.759
Sm Pt Rh
12 8 4
direct
0.046 0.250 0.125
0.123 0.750 0.558
0.221 0.250 0.807
0.279 0.750 0.307
0.377 0.250 0.058
0.454 0.750 0.625
0.546 0.250 0.375
0.623 0.750 0.942
0.721 0.250 0.693
0.779 0.750 0.193
0.877 0.250 0.442
0.954 0.750 0.875
0.004 0.250 0.697
0.177 0.750 0.001
0.323 0.250 0.501
0.496 0.750 0.197
0.504 0.250 0.803
0.677 0.750 0.499
0.823 0.250 0.999
0.996 0.750 0.303
0.125 0.250 0.376
0.375 0.750 0.876
0.625 0.250 0.124
0.875 0.750 0.624
```

---

Entry 9:
Below is crystalline Sm5PtRh4 at its relaxed geometry, with properties calculated at the PBE level.

Calculated values
The total energy is -67.0 eV for the cell shown. For the formation energy, the calculation gives -0.80 eV/atom. For the volume, the calculation gives 216.96 Å³/cell.

```
Sm5PtRh4
1.0
3.495 0.000 0.000
0.000 3.495 0.000
0.000 0.000 17.759
Sm Pt Rh
5 1 4
direct
0.000 0.000 0.000
0.000 0.000 0.199
0.000 0.000 0.397
0.000 0.000 0.603
0.000 0.000 0.801
0.500 0.500 0.500
0.500 0.500 0.099
0.500 0.500 0.299
0.500 0.500 0.701
0.500 0.500 0.901
```

---

Entry 10:
Below is crystalline SmPt4Rh2 at its relaxed geometry, with properties calculated at the PBE level.

Calculated values
The total energy is -47.1 eV for the cell shown. For the formation energy, the calculation gives -0.50 eV/atom. For the volume, the calculation gives 120.82 Å³/cell.

```
SmPt4Rh2
1.0
-3.378 3.378 2.646
3.378 -3.378 2.646
3.378 3.378 -2.646
Sm Pt Rh
1 4 2
direct
0.000 0.000 0.000
0.301 0.301 0.602
0.301 0.699 0.000
0.699 0.301 0.000
0.699 0.699 0.398
0.250 0.750 0.500
0.750 0.250 0.500
```

---

Entry 11:
Below is crystalline Sm2PtRh at its relaxed geometry, with properties calculated at the PBE level.

Calculated values
The total energy is -26.5 eV for the cell shown. For the formation energy, the calculation gives -0.93 eV/atom. For the volume, the calculation gives 88.23 Å³/cell.

```
Sm2PtRh
1.0
3.529 0.000 0.000
0.000 3.529 0.000
0.000 0.000 7.085
Sm Pt Rh
2 1 1
direct
0.000 0.000 0.245
0.000 0.000 0.755
0.500 0.500 0.500
0.500 0.500 0.000
```

---

Entry 12:
Below is crystalline SmPtRh4 at its relaxed geometry, with properties calculated at the PBE level.

Calculated values
The total energy is -41.6 eV for the cell shown. For the formation energy, the calculation gives -0.25 eV/atom. For the volume, the calculation gives 101.94 Å³/cell.

```
SmPtRh4
1.0
0.000 3.708 3.708
3.708 0.000 3.708
3.708 3.708 0.000
Sm Pt Rh
1 1 4
direct
0.000 0.000 0.000
0.750 0.750 0.750
0.376 0.376 0.376
0.376 0.376 0.873
0.376 0.873 0.376
0.873 0.376 0.376
```